one:
Entry from Alexandria via LeMat-Bulk: a relaxed structure of TaInW3 (GGA-PBE).

Output
- total magnetization (μB/f.u.) = 0.00

Geometry as CIF:
```
data_TaInW3
_chemical_formula_sum 'Ta1 In1 W3'
_symmetry_space_group_name_H-M 'P m -3 m'
_symmetry_Int_Tables_number 221
_symmetry_space_group_name_Hall '-P 4 2 3'
_cell_length_a 4.794
_cell_length_b 4.794
_cell_length_c 4.794
_cell_angle_alpha 90.00
_cell_angle_beta 90.00
_cell_angle_gamma 90.00
loop_
_atom_site_label
_atom_site_type_symbol
_atom_site_fract_x
_atom_site_fract_y
_atom_site_fract_z
Ta1 Ta 0.000 0.000 0.000
In1 In 0.500 0.500 0.500
W1 W 0.000 0.500 0.500
```



two:
Entry from Alexandria via LeMat-Bulk: a relaxed structure of TaInW3 (GGA-PBE).

Output
- total magnetization (μB/f.u.) = 0.00

Geometry as CIF:
```
data_TaInW3
_chemical_formula_sum 'Ta1 In1 W3'
_symmetry_space_group_name_H-M 'P m -3 m'
_symmetry_Int_Tables_number 221
_symmetry_space_group_name_Hall '-P 4 2 3'
_cell_length_a 4.817
_cell_length_b 4.817
_cell_length_c 4.817
_cell_angle_alpha 90.00
_cell_angle_beta 90.00
_cell_angle_gamma 90.00
loop_
_atom_site_label
_atom_site_type_symbol
_atom_site_fract_x
_atom_site_fract_y
_atom_site_fract_z
Ta1 Ta 0.000 0.000 0.000
In1 In 0.500 0.500 0.500
W1 W 0.000 0.000 0.500
```



two takes first place; second place is 668 meV per atom up.



one:
Entry from Alexandria via LeMat-Bulk: a relaxed structure of YTaIn (GGA-PBE).

Output
- total magnetization (μB/f.u.) = 0.00

Geometry as CIF:
```
data_YTaIn
_chemical_formula_sum 'Y4 Ta4 In4'
_symmetry_space_group_name_H-M 'F -4 3 m'
_symmetry_Int_Tables_number 216
_symmetry_space_group_name_Hall 'F -4 2 3'
_cell_length_a 6.837
_cell_length_b 6.837
_cell_length_c 6.837
_cell_angle_alpha 90.00
_cell_angle_beta 90.00
_cell_angle_gamma 90.00
loop_
_atom_site_label
_atom_site_type_symbol
_atom_site_fract_x
_atom_site_fract_y
_atom_site_fract_z
Y1 Y 0.000 0.000 0.000
Ta1 Ta 0.000 0.000 0.500
In1 In 0.250 0.250 0.250
```



two:
Entry from Alexandria via LeMat-Bulk: a relaxed structure of YTaIn (GGA-PBE).

Output
- total magnetization (μB/f.u.) = 0.00

Geometry as CIF:
```
data_YTaIn
_chemical_formula_sum 'Y2 Ta2 In2'
_symmetry_space_group_name_H-M 'I 4 m m'
_symmetry_Int_Tables_number 107
_symmetry_space_group_name_Hall 'I 4 -2'
_cell_length_a 3.096
_cell_length_b 3.096
_cell_length_c 14.282
_cell_angle_alpha 90.00
_cell_angle_beta 90.00
_cell_angle_gamma 90.00
loop_
_atom_site_label
_atom_site_type_symbol
_atom_site_fract_x
_atom_site_fract_y
_atom_site_fract_z
Y1 Y 0.000 0.000 0.000
Ta1 Ta 0.000 0.000 0.332
In1 In 0.000 0.000 0.679
```



two takes first place; second place is 548 meV per atom up.



one:
Entry from Alexandria via LeMat-Bulk: a relaxed structure of YTaIn (GGA-PBE).

Output
- total magnetization (μB/f.u.) = 0.00

Geometry as CIF:
```
data_YTaIn
_chemical_formula_sum 'Y1 Ta1 In1'
_symmetry_space_group_name_H-M 'P 3 m 1'
_symmetry_Int_Tables_number 156
_cell_length_a 3.2769
_cell_length_b 3.2769
_cell_length_c 7.6233
_cell_angle_alpha 90.00
_cell_angle_beta 90.00
_cell_angle_gamma 120.00
loop_
_symmetry_equiv_pos_as_xyz
'x,y,z'
'-y,x-y,z'
'-x+y,-x,z'
'-y,-x,z'
'-x+y,y,z'
'x,x-y,z'
loop_
_atom_site_label
_atom_site_type_symbol
_atom_site_fract_x
_atom_site_fract_y
_atom_site_fract_z
Y1 Y 0.0000 0.0000 0.0000
Ta1 Ta 0.6667 0.3333 0.6750
In1 In 0.3333 0.6667 0.3610
```



two:
Entry from Alexandria via LeMat-Bulk: a relaxed structure of YTaIn (GGA-PBE).

Output
- total magnetization (μB/f.u.) = 2.91

Geometry as CIF:
```
data_YTaIn
_chemical_formula_sum 'Y4 Ta4 In4'
_symmetry_space_group_name_H-M 'F -4 3 m'
_symmetry_Int_Tables_number 216
_symmetry_space_group_name_Hall 'F -4 2 3'
_cell_length_a 7.050
_cell_length_b 7.050
_cell_length_c 7.050
_cell_angle_alpha 90.00
_cell_angle_beta 90.00
_cell_angle_gamma 90.00
loop_
_atom_site_label
_atom_site_type_symbol
_atom_site_fract_x
_atom_site_fract_y
_atom_site_fract_z
Y1 Y 0.000 0.000 0.000
Ta1 Ta 0.250 0.250 0.750
In1 In 0.250 0.250 0.250
```



three:
Entry from Alexandria via LeMat-Bulk: a relaxed structure of YTaIn (GGA-PBE).

Output
- total magnetization (μB/f.u.) = 0.00

Geometry as CIF:
```
data_YTaIn
_chemical_formula_sum 'Y2 Ta2 In2'
_symmetry_space_group_name_H-M 'I m m 2'
_symmetry_Int_Tables_number 44
_cell_length_a 3.271
_cell_length_b 4.035
_cell_length_c 10.572
_cell_angle_alpha 90.00
_cell_angle_beta 90.00
_cell_angle_gamma 90.00
loop_
_symmetry_equiv_pos_as_xyz
'x,y,z'
'-x,-y,z'
'-x,y,z'
'x,-y,z'
'x+1/2,y+1/2,z+1/2'
'-x+1/2,-y+1/2,z+1/2'
'-x+1/2,y+1/2,z+1/2'
'x+1/2,-y+1/2,z+1/2'
loop_
_atom_site_label
_atom_site_type_symbol
_atom_site_fract_x
_atom_site_fract_y
_atom_site_fract_z
Y1 Y 0.000 0.000 0.000
Ta1 Ta 0.000 0.000 0.325
In1 In 0.000 0.000 0.687
```



three takes first place; second place is 75 meV per atom up.



one:
Entry from Alexandria via LeMat-Bulk: a relaxed structure of Ta3ZnIn (GGA-PBE).

Output
- total magnetization (μB/f.u.) = 0.00

Geometry as CIF:
```
data_Ta3ZnIn
_chemical_formula_sum 'Ta3 Zn1 In1'
_symmetry_space_group_name_H-M 'P m -3 m'
_symmetry_Int_Tables_number 221
_symmetry_space_group_name_Hall '-P 4 2 3'
_cell_length_a 4.710
_cell_length_b 4.710
_cell_length_c 4.710
_cell_angle_alpha 90.00
_cell_angle_beta 90.00
_cell_angle_gamma 90.00
loop_
_atom_site_label
_atom_site_type_symbol
_atom_site_fract_x
_atom_site_fract_y
_atom_site_fract_z
Ta1 Ta 0.000 0.000 0.500
Zn1 Zn 0.000 0.000 0.000
In1 In 0.500 0.500 0.500
```



two:
Entry from Alexandria via LeMat-Bulk: a relaxed structure of Ta3ZnIn (GGA-PBE).

Output
- total magnetization (μB/f.u.) = 0.00

Geometry as CIF:
```
data_Ta3ZnIn
_chemical_formula_sum 'Ta3 Zn1 In1'
_symmetry_space_group_name_H-M 'P m -3 m'
_symmetry_Int_Tables_number 221
_symmetry_space_group_name_Hall '-P 4 2 3'
_cell_length_a 4.992
_cell_length_b 4.992
_cell_length_c 4.992
_cell_angle_alpha 90.00
_cell_angle_beta 90.00
_cell_angle_gamma 90.00
loop_
_atom_site_label
_atom_site_type_symbol
_atom_site_fract_x
_atom_site_fract_y
_atom_site_fract_z
Ta1 Ta 0.000 0.000 0.500
Zn1 Zn 0.500 0.500 0.500
In1 In 0.000 0.000 0.000
```



one takes first place; second place is 1050 meV per atom up.



one:
Entry from Alexandria via LeMat-Bulk: a relaxed structure of TaZn3In (GGA-PBE).

Output
- total magnetization (μB/f.u.) = 0.00

Geometry as CIF:
```
data_TaZn3In
_chemical_formula_sum 'Ta1 Zn3 In1'
_symmetry_space_group_name_H-M 'P m -3 m'
_symmetry_Int_Tables_number 221
_symmetry_space_group_name_Hall '-P 4 2 3'
_cell_length_a 5.081
_cell_length_b 5.081
_cell_length_c 5.081
_cell_angle_alpha 90.00
_cell_angle_beta 90.00
_cell_angle_gamma 90.00
loop_
_atom_site_label
_atom_site_type_symbol
_atom_site_fract_x
_atom_site_fract_y
_atom_site_fract_z
Ta1 Ta 0.000 0.000 0.000
Zn1 Zn 0.000 0.000 0.500
In1 In 0.500 0.500 0.500
```



two:
Entry from Alexandria via LeMat-Bulk: a relaxed structure of TaZn3In (GGA-PBE).

Output
- total magnetization (μB/f.u.) = 0.87

Geometry as CIF:
```
data_TaZn3In
_chemical_formula_sum 'Ta1 Zn3 In1'
_symmetry_space_group_name_H-M 'P m -3 m'
_symmetry_Int_Tables_number 221
_symmetry_space_group_name_Hall '-P 4 2 3'
_cell_length_a 4.843
_cell_length_b 4.843
_cell_length_c 4.843
_cell_angle_alpha 90.00
_cell_angle_beta 90.00
_cell_angle_gamma 90.00
loop_
_atom_site_label
_atom_site_type_symbol
_atom_site_fract_x
_atom_site_fract_y
_atom_site_fract_z
Ta1 Ta 0.000 0.000 0.000
Zn1 Zn 0.000 0.500 0.500
In1 In 0.500 0.500 0.500
```



one takes first place; second place is 397 meV per atom up.



one:
Entry from Alexandria via LeMat-Bulk: a relaxed structure of ZrTa3In (GGA-PBE).

Output
- total magnetization (μB/f.u.) = 0.00

Geometry as CIF:
```
data_ZrTa3In
_chemical_formula_sum 'Zr1 Ta3 In1'
_symmetry_space_group_name_H-M 'P m -3 m'
_symmetry_Int_Tables_number 221
_symmetry_space_group_name_Hall '-P 4 2 3'
_cell_length_a 4.997
_cell_length_b 4.997
_cell_length_c 4.997
_cell_angle_alpha 90.00
_cell_angle_beta 90.00
_cell_angle_gamma 90.00
loop_
_atom_site_label
_atom_site_type_symbol
_atom_site_fract_x
_atom_site_fract_y
_atom_site_fract_z
Zr1 Zr 0.000 0.000 0.000
Ta1 Ta 0.000 0.500 0.500
In1 In 0.500 0.500 0.500
```



two:
Entry from Alexandria via LeMat-Bulk: a relaxed structure of ZrTa3In (GGA-PBE).

Output
- total magnetization (μB/f.u.) = 0.00

Geometry as CIF:
```
data_ZrTa3In
_chemical_formula_sum 'Zr1 Ta3 In1'
_symmetry_space_group_name_H-M 'P m -3 m'
_symmetry_Int_Tables_number 221
_symmetry_space_group_name_Hall '-P 4 2 3'
_cell_length_a 4.935
_cell_length_b 4.935
_cell_length_c 4.935
_cell_angle_alpha 90.00
_cell_angle_beta 90.00
_cell_angle_gamma 90.00
loop_
_atom_site_label
_atom_site_type_symbol
_atom_site_fract_x
_atom_site_fract_y
_atom_site_fract_z
Zr1 Zr 0.000 0.000 0.000
Ta1 Ta 0.000 0.000 0.500
In1 In 0.500 0.500 0.500
```



two takes first place; second place is 81 meV per atom up.



one:
Entry from Alexandria via LeMat-Bulk: a relaxed structure of Tb5In3 (GGA-PBE).

Output
- total magnetization (μB/f.u.) = 0.00

Geometry as CIF:
```
data_Tb5In3
_chemical_formula_sum 'Tb10 In6'
_symmetry_space_group_name_H-M 'P 63/m c m'
_symmetry_Int_Tables_number 193
_symmetry_space_group_name_Hall '-P 6c 2'
_cell_length_a 9.1339
_cell_length_b 9.1339
_cell_length_c 6.5260
_cell_angle_alpha 90.00
_cell_angle_beta 90.00
_cell_angle_gamma 120.00
loop_
_atom_site_label
_atom_site_type_symbol
_atom_site_fract_x
_atom_site_fract_y
_atom_site_fract_z
Tb1 Tb 0.0000 0.2347 0.2500
Tb2 Tb 0.3333 0.6667 0.0000
In1 In 0.0000 0.4016 0.7500
```



two:
Entry from Alexandria via LeMat-Bulk: a relaxed structure of Tb5In3 (GGA-PBE).

Output
- total magnetization (μB/f.u.) = 0.00

Geometry as CIF:
```
data_Tb5In3
_chemical_formula_sum 'Tb10 In6'
_symmetry_space_group_name_H-M 'C m m m'
_symmetry_Int_Tables_number 65
_symmetry_space_group_name_Hall '-C 2 2'
_cell_length_a 8.919
_cell_length_b 10.056
_cell_length_c 5.015
_cell_angle_alpha 90.00
_cell_angle_beta 90.00
_cell_angle_gamma 90.00
loop_
_atom_site_label
_atom_site_type_symbol
_atom_site_fract_x
_atom_site_fract_y
_atom_site_fract_z
Tb1 Tb 0.000 0.000 0.000
Tb2 Tb 0.226 0.500 0.500
Tb3 Tb 0.250 0.250 0.000
In1 In 0.000 0.225 0.500
In2 In 0.000 0.500 0.000
```



one takes first place; second place is 28 meV per atom up.



one:
Entry from Alexandria via LeMat-Bulk: a relaxed structure of Tb2In3 (GGA-PBE).

Output
- total magnetization (μB/f.u.) = 0.00

Geometry as CIF:
```
data_Tb2In3
_chemical_formula_sum 'Tb16 In24'
_symmetry_space_group_name_H-M 'I -4 3 d'
_symmetry_Int_Tables_number 220
_symmetry_space_group_name_Hall 'I -4bd 2c 3'
_cell_length_a 10.549
_cell_length_b 10.549
_cell_length_c 10.549
_cell_angle_alpha 90.00
_cell_angle_beta 90.00
_cell_angle_gamma 90.00
loop_
_atom_site_label
_atom_site_type_symbol
_atom_site_fract_x
_atom_site_fract_y
_atom_site_fract_z
Tb1 Tb 0.039 0.461 0.539
In1 In 0.000 0.250 0.010
```



two:
Entry from Alexandria via LeMat-Bulk: a relaxed structure of Tb2In3 (GGA-PBE).

Output
- total magnetization (μB/f.u.) = 0.00

Geometry as CIF:
```
data_Tb2In3
_chemical_formula_sum 'Tb8 In12'
_symmetry_space_group_name_H-M 'P b c n'
_symmetry_Int_Tables_number 60
_cell_length_a 6.663
_cell_length_b 8.231
_cell_length_c 9.713
_cell_angle_alpha 90.00
_cell_angle_beta 90.00
_cell_angle_gamma 90.00
loop_
_symmetry_equiv_pos_as_xyz
'x,y,z'
'-x,-y,-z'
'-x+1/2,-y+1/2,z+1/2'
'x+1/2,y+1/2,-z+1/2'
'x+1/2,-y+1/2,-z'
'-x+1/2,y+1/2,z'
'-x,y,-z+1/2'
'x,-y,z+1/2'
loop_
_atom_site_label
_atom_site_type_symbol
_atom_site_fract_x
_atom_site_fract_y
_atom_site_fract_z
Tb1 Tb 0.125 0.183 0.087
In1 In 0.000 0.150 0.750
In2 In 0.136 0.478 0.870
```



two takes first place; second place is 231 meV per atom up.